Record 1
Sr2Zn3Te2P2O14 | GGA-PBE | relaxed

formation energy (no corrections)	-2.005	eV per atom
theoretical density	4.62	g cm⁻³
calculated volume	655	Å³/cell
final energy	-6.079	eV/atom

abc: 5.2810 7.9743 15.5656
angles: 90.00 90.46 90.00
Element x y z (fractional)
Sr (0.0023, 0.0541, 0.2971)
Sr (0.0023, 0.4459, 0.7971)
Sr (0.9977, 0.5541, 0.2029)
Sr (0.9977, 0.9459, 0.7029)
Zn (0.4905, 0.6078, 0.6186)
Zn (0.4905, 0.8922, 0.1186)
Zn (0.5000, 0.0000, 0.5000)
Zn (0.5000, 0.5000, 0.0000)
Zn (0.5095, 0.1078, 0.8814)
Zn (0.5095, 0.3922, 0.3814)
Te (0.0130, 0.7279, 0.4936)
Te (0.0130, 0.7721, 0.9936)
Te (0.9870, 0.2279, 0.0064)
Te (0.9870, 0.2721, 0.5064)
P (0.4492, 0.7356, 0.8079)
P (0.4492, 0.7644, 0.3079)
P (0.5508, 0.2356, 0.6921)
P (0.5508, 0.2644, 0.1921)
O (0.2067, 0.6031, 0.0551)
O (0.2067, 0.8969, 0.5551)
O (0.2091, 0.5472, 0.5414)
O (0.2091, 0.9528, 0.0414)
O (0.2492, 0.2382, 0.4235)
O (0.2492, 0.2618, 0.9235)
O (0.2639, 0.2363, 0.7080)
O (0.2639, 0.2637, 0.2080)
O (0.2966, 0.6800, 0.7248)
O (0.2966, 0.8200, 0.2248)
O (0.3385, 0.5873, 0.3283)
O (0.3385, 0.9127, 0.8283)
O (0.3725, 0.6117, 0.8801)
O (0.3725, 0.8883, 0.3801)
O (0.6275, 0.1117, 0.6199)
O (0.6275, 0.3883, 0.1199)
O (0.6615, 0.0873, 0.1717)
O (0.6615, 0.4127, 0.6717)
O (0.7034, 0.1800, 0.7752)
O (0.7034, 0.3200, 0.2752)
O (0.7361, 0.7363, 0.7920)
O (0.7361, 0.7637, 0.2920)
O (0.7508, 0.7382, 0.0765)
O (0.7508, 0.7618, 0.5765)
O (0.7909, 0.0472, 0.9586)
O (0.7909, 0.4528, 0.4586)
O (0.7933, 0.1031, 0.4449)
O (0.7933, 0.3969, 0.9449)

Record 2
Sr2TiP2O9 | GGA-PBE | relaxed

formation energy (no corrections)	-2.836	eV per atom
theoretical density	4.04	g cm⁻³
calculated volume	353	Å³/cell
final energy	-7.600	eV/atom

abc: 8.8233 8.8233 6.8726
angles: 102.28 102.28 130.15
Element x y z (fractional)
Sr (0.0440, 0.9560, 0.5000)
Sr (0.3736, 0.6219, 0.9970)
Sr (0.6219, 0.3736, 0.4970)
Sr (0.9560, 0.0440, 0.0000)
Ti (0.0132, 0.5191, 0.2635)
Ti (0.5191, 0.0132, 0.7635)
P (0.1615, 0.8362, 0.9972)
P (0.4225, 0.5754, 0.4975)
P (0.5754, 0.4225, 0.9975)
P (0.8362, 0.1615, 0.4972)
O (0.0044, 0.2173, 0.7077)
O (0.0671, 0.6217, 0.0244)
O (0.2026, 0.7888, 0.4929)
O (0.2173, 0.0044, 0.2077)
O (0.2427, 0.5142, 0.2850)
O (0.3119, 0.3577, 0.5097)
O (0.3577, 0.3119, 0.0097)
O (0.3756, 0.9293, 0.9717)
O (0.4840, 0.7538, 0.7108)
O (0.5142, 0.2427, 0.7850)
O (0.6217, 0.0671, 0.5244)
O (0.6387, 0.6845, 0.4825)
O (0.6845, 0.6387, 0.9825)
O (0.7538, 0.4840, 0.2108)
O (0.7792, 0.9930, 0.2859)
O (0.7888, 0.2026, 0.9929)
O (0.9293, 0.3756, 0.4717)
O (0.9930, 0.7792, 0.7859)

Record 3
SrTiPO2 | GGA-PBE | relaxed

formation energy (no corrections)	0.052	eV per atom
theoretical density	3.07	g cm⁻³
calculated volume	107	Å³/cell
final energy	-4.929	eV/atom
excess energy over the best structure of this formula in the dataset	9.525	eV/f.u.

abc: 4.2122 4.2122 6.0565
angles: 90.00 90.00 90.00
Element x y z (fractional)
Sr (0.0000, 0.0000, 0.0000)
Ti (0.5000, 0.5000, 0.5000)
P (0.0000, 0.0000, 0.5000)
O (0.0000, 0.5000, 0.0000)
O (0.5000, 0.0000, 0.0000)